Entry 1:
Sr2In2Ga: relaxed, PBE-GGA.

The space group is P4/mbm (No. 127) and the conventional cell measures 9.2196, 9.2196 and 4.1059 Å, with angles of 90.00, 90.00 and 90.00 degrees. The asymmetric unit holds Sr at (0.1788, 0.3212, 0.0000), In at (0.1185, 0.6185, 0.5000) and Ga at (0.0000, 0.0000, 0.0000).

For the energy above the most stable polymorph in this dataset, the calculation gives 336 meV/atom. As for the total energy: -2.482 eV per atom. Its total moment is 0.0 μB per cell. The formation energy comes out at -108 meV/atom.

Entry 2:
BeIn2Si: relaxed, PBE-GGA.

The space group is Imm2 (No. 44) and the conventional cell measures 3.1740, 4.3155 and 11.5569 Å, with angles of 90.00, 90.00 and 90.00 degrees. The asymmetric unit holds Be at (0.0000, 0.0000, 0.0000), In at (0.0000, 0.0000, 0.5298), In at (0.0000, 0.5000, 0.7309) and Si at (0.0000, 0.5000, 0.3484).

For the energy above the most stable polymorph in this dataset, the calculation gives 209 meV/atom. As for the total energy: -3.235 eV per atom. Its total moment is 0.0 μB per cell. The formation energy (no corrections) is 0.422 eV/atom.

Entry 3:
CaIrPb2: relaxed, PBE-GGA.

The space group is R-3m (No. 166, hexagonal axes) and the conventional cell measures 4.6072, 4.6072 and 16.3835 Å, with angles of 90.00, 90.00 and 120.00 degrees. The asymmetric unit holds Ca at (0.0000, 0.0000, 0.0000), Ir at (0.0000, 0.0000, 0.5000) and Pb at (0.0000, 0.0000, 0.2283).

As for the total energy: -4.678 eV per atom. Its total moment is 0.0 μB per cell. The formation energy comes out at -108 meV/atom.

Entry 4:
SrSi2TcPb: relaxed, PBE-GGA.

The space group is P4/mmm (No. 123) and the conventional cell measures 4.7267, 4.7267 and 5.5139 Å, with angles of 90.00, 90.00 and 90.00 degrees. The asymmetric unit holds Sr at (0.0000, 0.0000, 0.0000), Si at (0.0000, 0.5000, 0.5000), Tc at (0.5000, 0.5000, 0.5000) and Pb at (0.5000, 0.5000, 0.0000).

As for the total energy: -5.220 eV per atom. Its total moment is 0.0 μB per cell. The formation energy (no corrections) is 0.101 eV/atom.

Entry 5:
AgTe6As2: relaxed, PBE-GGA.

The space group is C2/c (No. 15) and the conventional cell measures 16.0653, 13.4685 and 6.4999 Å, with angles of 90.00, 110.75 and 90.00 degrees. The asymmetric unit holds Ag at (0.0000, 0.1920, 0.2500), Te at (0.1205, 0.0066, 0.9526), Te at (0.1271, 0.4285, 0.5830), Te at (0.1421, 0.2019, 0.1225) and As at (0.2137, 0.4198, 0.3062).

As for the total energy: -3.342 eV per atom. Its total moment is 0.0 μB per cell. The formation energy (no corrections) is 0.102 eV/atom.

Entry 6:
CeSbRh4: relaxed, PBE-GGA.

The space group is I4_1/amd (No. 141, origin choice 2) and the conventional cell measures 5.3035, 5.3035 and 17.5988 Å, with angles of 90.00, 90.00 and 90.00 degrees. The asymmetric unit holds Ce at (0.0000, 0.2500, 0.3750), Sb at (0.0000, 0.2500, 0.8750) and Rh at (0.0000, 0.0045, 0.7448).

For the energy above the most stable polymorph in this dataset, the calculation gives 394 meV/atom. As for the total energy: -6.627 eV per atom. Its total moment is 0.0 μB per cell. The formation energy (no corrections) is -0.050 eV/atom.

Entry 7:
YPdPb3: relaxed, PBE-GGA.

The space group is Pm-3m (No. 221) and the conventional cell measures 5.3567, 5.3567 and 5.3567 Å, with angles of 90.00, 90.00 and 90.00 degrees. The asymmetric unit holds Y at (0.0000, 0.0000, 0.0000), Pd at (0.5000, 0.5000, 0.5000) and Pb at (0.0000, 0.5000, 0.5000).

For the energy above the most stable polymorph in this dataset, the calculation gives 0 meV/atom. As for the total energy: -4.508 eV per atom. Its total moment is 0.0 μB per cell. The formation energy comes out at 48 meV/atom.

Entry 8:
NaSCl3: relaxed, PBE-GGA.

The space group is Pm-3m (No. 221) and the conventional cell measures 5.2758, 5.2758 and 5.2758 Å, with angles of 90.00, 90.00 and 90.00 degrees. The asymmetric unit holds Na at (0.0000, 0.0000, 0.0000), S at (0.5000, 0.5000, 0.5000) and Cl at (0.0000, 0.0000, 0.5000).

For the energy above the most stable polymorph in this dataset, the calculation gives 864 meV/atom. As for the total energy: -2.054 eV per atom. Its total moment is 4.0 μB per cell. The formation energy (no corrections) is 0.143 eV/atom.

Entry 9:
Th4CdTc: relaxed, PBE-GGA.

The space group is F-43m (No. 216) and the conventional cell measures 13.9855, 13.9855 and 13.9855 Å, with angles of 90.00, 90.00 and 90.00 degrees. The asymmetric unit holds Th at (0.0000, 0.0000, 0.1862), Th at (0.0561, 0.2500, 0.2500), Th at (0.0963, 0.0963, 0.5963), Cd at (0.1717, 0.1717, 0.8283) and Tc at (0.1129, 0.1129, 0.3871).

As for the total energy: -6.964 eV per atom. Its total moment is 0.0 μB per cell. The formation energy comes out at -137 meV/atom.

Entry 10:
NaSr6Ag: relaxed, PBE-GGA.

The space group is I4/mmm (No. 139) and the conventional cell measures 5.8980, 5.8980 and 20.8837 Å, with angles of 90.00, 90.00 and 90.00 degrees. The asymmetric unit holds Na at (0.0000, 0.0000, 0.0000), Sr at (0.0000, 0.0000, 0.2482), Sr at (0.0000, 0.5000, 0.1007) and Ag at (0.0000, 0.0000, 0.5000).

For the energy above the most stable polymorph in this dataset, the calculation gives 0 meV/atom. As for the total energy: -1.818 eV per atom. Its total moment is 0.0 μB per cell. The formation energy comes out at -35 meV/atom.

Entry 11:
Cs5USe4: relaxed, PBE-GGA.

The space group is C2/m (No. 12) and the conventional cell measures 21.4300, 4.6156 and 9.8743 Å, with angles of 90.00, 99.79 and 90.00 degrees. The asymmetric unit holds Cs at (0.0000, 0.0000, 0.0000), Cs at (0.1555, 0.5000, 0.8191), Cs at (0.1729, 0.5000, 0.3387), U at (0.0000, 0.0000, 0.5000), Se at (0.0058, 0.5000, 0.3070) and Se at (0.1333, 0.0000, 0.5638).

As for the total energy: -3.960 eV per atom. Its total moment is 4.3 μB per cell. The formation energy (no corrections) is -1.011 eV/atom.

Entry 12:
PaInCo4H6: relaxed, PBE-GGA.

The space group is P6/mmm (No. 191) and the conventional cell measures 4.3059, 4.3059 and 6.6525 Å, with angles of 90.00, 90.00 and 120.00 degrees. The asymmetric unit holds Pa at (0.0000, 0.0000, 0.0000), In at (0.0000, 0.0000, 0.5000), Co at (0.3333, 0.6667, 0.3062) and H at (0.0000, 0.5000, 0.1456).

As for the total energy: -5.223 eV per atom. Its total moment is 3.6 μB per cell.

Entry 13:
Pu2Al4ZnAu3: relaxed, PBE-GGA.

The space group is P-4m2 (No. 115) and the conventional cell measures 4.3220, 4.3220 and 10.7207 Å, with angles of 90.00, 90.00 and 90.00 degrees. The asymmetric unit holds Pu at (0.0000, 0.5000, 0.2454), Al at (0.0000, 0.0000, 0.5000), Al at (0.0000, 0.5000, 0.8656), Al at (0.5000, 0.5000, 0.5000), Zn at (0.5000, 0.5000, 0.0000), Au at (0.0000, 0.0000, 0.0000) and Au at (0.0000, 0.5000, 0.6326).

As for the total energy: -5.914 eV per atom. Its total moment is 11.2 μB per cell. The formation energy comes out at -440 meV/atom.

Entry 14:
NdLuCoNi: relaxed, PBE-GGA.

The space group is F-43m (No. 216) and the conventional cell measures 6.7623, 6.7623 and 6.7623 Å, with angles of 90.00, 90.00 and 90.00 degrees. The asymmetric unit holds Nd at (0.0000, 0.0000, 0.0000), Lu at (0.0000, 0.0000, 0.5000), Co at (0.2500, 0.2500, 0.2500) and Ni at (0.2500, 0.2500, 0.7500).

As for the total energy: -5.740 eV per atom. Its total moment is 0.9 μB per cell. The formation energy comes out at -196 meV/atom.

Entry 15:
K3Tl3CuO8: relaxed, PBE-GGA.

The space group is C2/m (No. 12) and the conventional cell measures 11.8921, 6.6708 and 7.3944 Å, with angles of 90.00, 122.42 and 90.00 degrees. The asymmetric unit holds K at (0.0000, 0.0000, 0.0000), K at (0.2500, 0.2500, 0.0000), Tl at (0.0000, 0.5000, 0.5000), Tl at (0.2500, 0.2500, 0.5000), Cu at (0.0000, 0.0000, 0.5000), O at (0.0126, 0.2091, 0.3308), O at (0.2309, 0.0000, 0.6922) and O at (0.2306, 0.5000, 0.6959).

As for the total energy: -4.457 eV per atom. Its total moment is 2.2 μB per cell. The formation energy (no corrections) is -0.847 eV/atom.

Entry 16:
YP2Au: relaxed, PBE-GGA.

The space group is I-42d (No. 122) and the conventional cell measures 4.8234, 4.8234 and 15.6238 Å, with angles of 90.00, 90.00 and 90.00 degrees. The asymmetric unit holds Y at (0.0000, 0.0000, 0.0000), P at (0.1857, 0.2500, 0.6250) and Au at (0.0000, 0.0000, 0.5000).

For the energy above the most stable polymorph in this dataset, the calculation gives 392 meV/atom. As for the total energy: -5.475 eV per atom. Its total moment is 0.0 μB per cell. The formation energy comes out at -335 meV/atom.

Entry 17:
Ba8Ir3Br3O: relaxed, PBE-GGA.

The space group is R-3m (No. 166, hexagonal axes) and the conventional cell measures 8.9255, 8.9255 and 24.4716 Å, with angles of 90.00, 90.00 and 120.00 degrees. The asymmetric unit holds Ba at (0.0000, 0.0000, 0.2391), Ba at (0.0165, 0.5082, 0.2305), Ir at (0.0000, 0.5000, 0.5000), Br at (0.0000, 0.5000, 0.0000) and O at (0.0000, 0.0000, 0.5000).

As for the total energy: -4.469 eV per atom. Its total moment is 2.1 μB per cell. The formation energy (no corrections) is -1.006 eV/atom.

Entry 18:
RhSeSCl2: relaxed, PBE-GGA.

The space group is P4/mmm (No. 123) and the conventional cell measures 4.7488, 4.7488 and 4.6633 Å, with angles of 90.00, 90.00 and 90.00 degrees. The asymmetric unit holds Rh at (0.0000, 0.0000, 0.0000), Se at (0.5000, 0.5000, 0.5000), S at (0.0000, 0.0000, 0.5000) and Cl at (0.0000, 0.5000, 0.0000).

For the energy above the most stable polymorph in this dataset, the calculation gives 0 meV/atom. As for the total energy: -3.422 eV per atom. Its total moment is 0.8 μB per cell. The formation energy (no corrections) is 0.310 eV/atom.

Entry 19:
Ca3TmNp3N8: relaxed, PBE-GGA.

The space group is R-3m (No. 166, hexagonal axes) and the conventional cell measures 6.8787, 6.8787 and 17.0467 Å, with angles of 90.00, 90.00 and 120.00 degrees. The asymmetric unit holds Ca at (0.0000, 0.5000, 0.0000), Tm at (0.0000, 0.0000, 0.5000), Np at (0.0000, 0.5000, 0.5000), N at (0.0000, 0.0000, 0.2421) and N at (0.0091, 0.5045, 0.7689).

As for the total energy: -8.844 eV per atom. Its total moment is 18.0 μB per cell. The formation energy (no corrections) is -1.117 eV/atom.

Entry 20:
PmGdMgCu: relaxed, PBE-GGA.

The space group is F-43m (No. 216) and the conventional cell measures 7.3805, 7.3805 and 7.3805 Å, with angles of 90.00, 90.00 and 90.00 degrees. The asymmetric unit holds Pm at (0.0000, 0.0000, 0.0000), Gd at (0.0000, 0.0000, 0.5000), Mg at (0.2500, 0.2500, 0.2500) and Cu at (0.2500, 0.2500, 0.7500).

As for the total energy: -6.186 eV per atom. Its total moment is 30.4 μB per cell. The formation energy comes out at -56 meV/atom.

Entry 21:
ErTm4Ni: relaxed, PBE-GGA.

The space group is C2/c (No. 15) and the conventional cell measures 9.1422, 12.4676 and 5.9286 Å, with angles of 90.00, 106.71 and 90.00 degrees. The asymmetric unit holds Er at (0.0000, 0.0988, 0.2500), Tm at (0.1085, 0.3300, 0.5534), Tm at (0.2428, 0.0987, 0.8763) and Ni at (0.0000, 0.4994, 0.2500).

As for the total energy: -4.776 eV per atom. Its total moment is 0.0 μB per cell. The formation energy comes out at -71 meV/atom.

Entry 22:
PuHgPb2: relaxed, PBE-GGA.

The space group is P4/mmm (No. 123) and the conventional cell measures 4.8546, 4.8546 and 4.6006 Å, with angles of 90.00, 90.00 and 90.00 degrees. The asymmetric unit holds Pu at (0.0000, 0.0000, 0.0000), Hg at (0.5000, 0.5000, 0.0000) and Pb at (0.0000, 0.5000, 0.5000).

For the energy above the most stable polymorph in this dataset, the calculation gives 0 meV/atom. As for the total energy: -5.660 eV per atom. Its total moment is 5.6 μB per cell. The formation energy comes out at -147 meV/atom.